{"formula": "GdHoIn2Ni4", "functional": "PBE-GGA", "state": "optimized geometry", "e_above_lowest_polymorph_kcal_per_mol_atoms": 0.00, "lattice_angstrom": [[4.0186, 0.0000, 0.0000], [0.0000, 5.0936, 0.0000], [0.0000, 0.0000, 7.0206]], "species": ["Gd", "Ho", "In", "In", "Ni", "Ni", "Ni", "Ni"], "fractional_positions": [[0.0000, 0.0000, 0.0000], [0.0000, 0.5000, 0.4608], [0.5000, 0.0000, 0.3789], [0.5000, 0.5000, 0.0806], [0.0000, 0.0000, 0.6195], [0.0000, 0.5000, 0.8363], [0.5000, 0.2514, 0.7276], [0.5000, 0.7486, 0.7276]]}